The following is a PBE calculation of Cr2HgPt after structural relaxation, from Alexandria via LeMat-Bulk.

```
Cr2HgPt
1.0
3.209 0.000 0.000
0.000 3.209 0.000
0.000 0.000 6.528
Cr Hg Pt
2 1 1
direct
0.000 0.000 0.225
0.000 0.000 0.775
0.500 0.500 0.500
0.500 0.500 0.000
```

The density of states at the Fermi level is 3.84 states/eV/cell. The total magnetization comes out at 7.2 Bohr magnetons per cell. The raw total energy comes out at -6.172 eV per atom. The space-group type is P4/mmm (123).